# 1
Here is TiCd3Os after structural relaxation from the Alexandria database. Energies are from GGA-PBE.

Cell lengths 5.111, 5.111, 5.111 Å; angles 90.00, 90.00, 90.00 degrees
Space group Pm-3m (No. 221)
One atom of each set of equivalent atoms:
Ti1 0.000 0.000 0.000 [1 per cell]
Cd1 0.000 0.500 0.500 [3 per cell]
Os1 0.500 0.500 0.500 [1 per cell]

M_tot (μB/atom): 0.043
DFT formation energy (kcal/mol of atoms): 27.96
Energy relative to the lowest polymorph listed for this composition (eV/f.u.): 0.00
Density of states at the Fermi level (states/eV/cell): 8.941

# 2
Here is GeTe4Ir after structural relaxation from the Alexandria database. Energies are from GGA-PBE.

Cell lengths 4.077, 6.900, 6.931 Å; angles 60.82, 73.13, 73.11 degrees
Space group P-1 (No. 2)
One atom of each set of equivalent atoms:
Ge1 0.000 0.000 0.000 [1 per cell]
Te1 0.122 0.528 0.224 [2 per cell]
Te2 0.365 0.951 0.322 [2 per cell]
Ir1 0.500 0.500 0.500 [1 per cell]

M_tot (μB/atom): 0.000
Raw formation energy (eV per atom): -0.17
Energy relative to the lowest polymorph listed for this composition (eV/f.u.): 0.00
Density of states at the Fermi level (states/eV/cell): 3.214

# 3
Here is Ce2InGa3Pt4 after structural relaxation from the Alexandria database. Energies are from GGA-PBE.

Cell lengths 4.164, 4.164, 11.448 Å; angles 90.00, 90.00, 90.00 degrees
Space group P-4m2 (No. 115)
One atom of each set of equivalent atoms:
Ce1 0.000 0.500 0.245 [2 per cell]
In1 0.000 0.000 0.500 [1 per cell]
Ga1 0.000 0.500 0.872 [2 per cell]
Ga2 0.500 0.500 0.500 [1 per cell]
Pt1 0.000 0.000 0.000 [1 per cell]
Pt2 0.000 0.500 0.656 [2 per cell]
Pt3 0.500 0.500 0.000 [1 per cell]

M_tot (μB/atom): 0.147
DFT formation energy (kcal/mol of atoms): -20.11
Density of states at the Fermi level (states/eV/cell): 11.818

> Among the records above, which one has the lowest density of states at the Fermi level?

GeTe4Ir

> M_tot of number 1 (TiCd3Os)?

0.043 μB/atom

> Look up the M_tot of the second one.

0.000 μB/atom